## NaZr3Sn (GGA-PBE)

Data for a geometry-optimized NaZr3Sn structure.

Total energy in eV per atom: -5.0877
Spin magnetization in μB/f.u.: 0.00
DOS at the Fermi energy in states/eV/cell: 7.5
Energy of formation in meV per atom: 1106
Distance to the lowest polymorph of the same formula in meV/atom: 207

abc: 4.9795 4.9795 4.9795
angles: 90.00 90.00 90.00
Last column: nearest neighbours and their distance in Å.
Fractional coordinates of all 5 atoms:
1 Na 0.0000 0.0000 0.0000  6 Zr 2.49
2 Sn 0.5000 0.5000 0.5000  12 Zr 3.52
3 Zr 0.0000 0.5000 0.0000  2 Na 2.49
4 Zr 0.0000 0.0000 0.5000  2 Na 2.49
5 Zr 0.5000 0.0000 0.0000  2 Na 2.49